Material: NaCoPO
Method: DFT, PBE+U
State: optimized geometry

Total magnetic moment = 2.4 μB per formula unit
Total energy = -4.0530 eV/atom
E above lowest polymorph = 0.6545 eV/atom

Unit cell a=3.602 b=3.602 c=9.632 alpha=90.00 beta=90.00 gamma=90.00
Fractional positions:
Na (0.250, 0.750, 0.000)
Na (0.750, 0.250, 0.000)
Co (0.250, 0.250, 0.410)
Co (0.750, 0.750, 0.590)
P (0.250, 0.250, 0.771)
P (0.750, 0.750, 0.229)
O (0.250, 0.750, 0.500)
O (0.750, 0.250, 0.500)